PBE Ti6Si2C, optimized geometry; total moment = 0.00 μB/cell; formation energy (no corrections) = -194 meV per atom
1.0
5.419 0.000 0.000
0.000 5.419 0.000
0.000 0.000 10.624
Si Ti C
4 12 2
Cartesian
0.000 0.000 7.106 Si
2.709 2.709 1.794 Si
2.709 2.709 8.830 Si
0.000 0.000 3.518 Si
1.691 1.691 6.832 Ti
1.506 1.506 0.000 Ti
4.401 1.018 9.104 Ti
3.728 3.728 6.832 Ti
1.018 4.401 1.520 Ti
4.401 1.018 1.520 Ti
3.913 3.913 0.000 Ti
3.728 3.728 3.792 Ti
1.691 1.691 3.792 Ti
1.203 4.215 5.312 Ti
1.018 4.401 9.104 Ti
4.215 1.203 5.312 Ti
2.709 2.709 5.312 C
0.000 0.000 0.000 C